Density functional theory data (PBE) for an optimized crystal structure of LiHgMo.

## Properties
* uncorrected energy: -11.9 eV per cell
* mass density: 9.767 g/cm3
* symmetry: Fmm2, No. 42
* ΔE to the lowest computed polymorph: 0 meV/atom

The structure in POSCAR format:
```
LiHgMo
1.0
7.294 0.005 -0.005
6.685 2.677 0.002
0.610 -0.373 2.646
Li Hg Mo
1 1 1
Cartesian
5.066 0.645 1.763
13.916 2.668 0.010
9.585 1.678 0.868
```